# 1
The following is a PBE calculation of a relaxed structure of Sm3AlRu3, from the Alexandria database.

Structure (CIF):
```
data_Sm3AlRu3
_chemical_formula_sum 'Sm12 Al4 Ru12'
_symmetry_space_group_name_H-M 'C m c m'
_symmetry_Int_Tables_number 63
_symmetry_space_group_name_Hall '-C 2c 2'
_cell_length_a 4.1763
_cell_length_b 10.7021
_cell_length_c 13.5771
_cell_angle_alpha 90.00
_cell_angle_beta 90.00
_cell_angle_gamma 90.00
loop_
_atom_site_label
_atom_site_type_symbol
_atom_site_fract_x
_atom_site_fract_y
_atom_site_fract_z
Sm1 Sm 0.0000 0.0086 0.2500
Sm2 Sm 0.0000 0.2958 0.1058
Al1 Al 0.0000 0.0000 0.0000
Ru1 Ru 0.0000 0.2844 0.7500
Ru2 Ru 0.0000 0.4170 0.5933
```

Output
Formation energy from the elements   -0.37 eV per atom

=====

# 2
The following is a PBE calculation of a relaxed structure of Y2ThHg4, from the Alexandria database.

Structure (CIF):
```
data_Y2ThHg4
_chemical_formula_sum 'Y2 Th1 Hg4'
_symmetry_space_group_name_H-M 'P 4/m m m'
_symmetry_Int_Tables_number 123
_symmetry_space_group_name_Hall '-P 4 2'
_cell_length_a 5.2514
_cell_length_b 5.2514
_cell_length_c 7.2842
_cell_angle_alpha 90.00
_cell_angle_beta 90.00
_cell_angle_gamma 90.00
loop_
_atom_site_label
_atom_site_type_symbol
_atom_site_fract_x
_atom_site_fract_y
_atom_site_fract_z
Y1 Y 0.0000 0.0000 0.0000
Y2 Y 0.5000 0.5000 0.5000
Th1 Th 0.0000 0.0000 0.5000
Hg1 Hg 0.0000 0.5000 0.2306
```

Output
Formation energy from the elements   -0.25 eV per atom

=====

What is the formation energy from the elements in the first record?
-0.37 eV per atom

=====

Which value of formation energy from the elements does entry 2 give?
-0.25 eV per atom

=====

What is the formula in the first record?
Sm3AlRu3